Entry from Alexandria: a geometry-optimized TaCuMo2 structure (PBE).

Lattice parameters (Å, degrees): 2.6861 2.6861 8.6824 90.00 90.00 90.00
Fractional coordinates of all 4 atoms:
1 Ta 0.0000 0.0000 0.0000
2 Cu 0.5000 0.5000 0.2350
3 Mo 0.0000 0.0000 0.4628
4 Mo 0.5000 0.5000 0.7288

Output
The formation energy is 0.211 eV per atom.

---

Entry from Alexandria: a geometry-optimized TcIrOF2 structure (PBE).

Lattice parameters (Å, degrees): 4.2578 4.2578 3.7468 90.00 90.00 90.00
Fractional coordinates of all 5 atoms:
1 Tc 0.0000 0.0000 0.0000
2 Ir 0.5000 0.5000 0.5000
3 O 0.0000 0.0000 0.5000
4 F 0.0000 0.5000 0.0000
5 F 0.5000 0.0000 0.0000

Output
As for the formation energy (no corrections): -5 meV/atom.

---

Entry from Alexandria: a geometry-optimized Li2TlMo structure (PBE).

Lattice parameters (Å, degrees): 5.3666 5.3666 2.7524 90.00 90.00 116.11
Fractional coordinates of all 4 atoms:
1 Li 0.0000 0.5000 0.0000
2 Li 0.5000 0.0000 0.0000
3 Tl 0.0000 0.0000 0.5000
4 Mo 0.5000 0.5000 0.5000

Output
The formation energy is 0.431 eV per atom.

---

Entry from Alexandria: a geometry-optimized CaErMgPt structure (PBE).

Lattice parameters (Å, degrees): 5.0724 5.0724 5.0724 60.00 60.00 60.00
Fractional coordinates of all 4 atoms:
1 Ca 0.0000 0.0000 0.0000
2 Er 0.5000 0.5000 0.5000
3 Mg 0.7500 0.7500 0.7500
4 Pt 0.2500 0.2500 0.2500

Output
The formation energy is -0.525 eV per atom.

---

no.,E_tot (hartree per atom),volume (Å³/cell)
1,-0.338,62.6
2,-0.205,67.9
3,-0.141,71.2
4,-0.150,92.3